No. 1
VASP calculation (PBE) on a relaxed structure of AlTl3Ag.

Its crystal system is cubic. The formation enthalpy at 0 K comes out at 418 meV per atom.

It has space group Pm-3m (No. 221), with a = 5.4231 Å, b = 5.4231 Å, c = 5.4231 Å, α = 90.00°, β = 90.00° and γ = 90.00°. The distinct sites, in fractional coordinates, are Al at (0.0000, 0.0000, 0.0000), Tl at (0.0000, 0.0000, 0.5000) and Ag at (0.5000, 0.5000, 0.5000).


No. 2
VASP calculation (PBE) on a relaxed structure of SmDy9Tm2.

Its crystal system is tetragonal. The formation enthalpy at 0 K comes out at 22 meV per atom.

It has space group P4/mmm (No. 123), with a = 5.0057 Å, b = 5.0057 Å, c = 15.0210 Å, α = 90.00°, β = 90.00° and γ = 90.00°. The distinct sites, in fractional coordinates, are Sm at (0.0000, 0.0000, 0.0000), Dy at (0.0000, 0.5000, 0.1686), Dy at (0.0000, 0.5000, 0.5000), Dy at (0.5000, 0.5000, 0.0000), Dy at (0.5000, 0.5000, 0.3349) and Tm at (0.0000, 0.0000, 0.3343).


No. 3
VASP calculation (PBE) on a relaxed structure of LiZrZn4.

Its crystal system is cubic. The formation enthalpy at 0 K comes out at -140 meV per atom.

It has space group F-43m (No. 216), with a = 7.3189 Å, b = 7.3189 Å, c = 7.3189 Å, α = 90.00°, β = 90.00° and γ = 90.00°. The distinct sites, in fractional coordinates, are Li at (0.0000, 0.0000, 0.0000), Zr at (0.2500, 0.2500, 0.7500) and Zn at (0.1244, 0.1244, 0.3756).


No. 4
VASP calculation (PBE) on a relaxed structure of ErAlCu11.

Its crystal system is monoclinic. The formation enthalpy at 0 K comes out at -141 meV per atom.

It has space group C2/m (No. 12), with a = 4.8457 Å, b = 11.9006 Å, c = 6.5327 Å, α = 90.00°, β = 111.36° and γ = 90.00°. The distinct sites, in fractional coordinates, are Er at (0.0000, 0.0000, 0.0000), Al at (0.0000, 0.5000, 0.5000), Cu at (0.0000, 0.0000, 0.5000), Cu at (0.1072, 0.3895, 0.2190), Cu at (0.1702, 0.1782, 0.3518) and Cu at (0.2500, 0.2500, 0.0000).